Density functional theory data (PBE-GGA) for an optimized crystal structure of Cs3DyGa2S6. Values from VASP.

Properties
The calculation puts the total energy at -0.1594 hartree per atom. The volume is 37.0 Å³ per atom. For the formation energy (no corrections), the calculation gives -1.172 eV/atom. Its density of states at the Fermi level is 0.00 states/eV/cell.

```
&SYSTEM
  ibrav = 0, nat = 12, ntyp = 4
/
ATOMIC_SPECIES
Ga 69.72 Ga.upf
S 32.06 S.upf
Dy 162.50 Dy.upf
Cs 132.91 Cs.upf
CELL_PARAMETERS angstrom
7.427 0.000 0.000
-3.714 6.432 0.000
0.000 0.000 9.288
ATOMIC_POSITIONS angstrom
Ga 0.000 4.288 2.961
Ga 3.714 2.144 6.328
S 1.898 5.384 2.843
S 1.816 1.048 6.445
S 5.612 1.048 6.445
S -1.898 5.384 2.843
S 3.714 4.336 6.445
S 0.000 2.096 2.843
Dy 0.000 0.000 4.644
Cs 0.000 4.288 6.623
Cs 0.000 0.000 0.000
Cs 3.714 2.144 2.665
```